(1)
Density functional theory data (PBE) for crystalline Be2CdMo at its relaxed geometry.

abc: 2.7325 4.2853 9.0275
angles: 90.00 90.00 90.00
Last column: nearest neighbours and their distance in Å.
Positions (direct):
Be1 0.0000 0.0000 0.0000  2 Be 2.30, 4 Mo 2.56
Be2 0.0000 0.5000 0.2957  2 Be 2.30
Be3 0.5000 0.0000 0.7957  2 Be 2.30
Be4 0.5000 0.5000 0.5000  2 Be 2.30, 4 Mo 2.56
Cd1 0.0000 0.5000 0.7462  6 Be 2.58-2.61, 2 Cd 2.73
Cd2 0.5000 0.0000 0.2462  6 Be 2.58-2.61, 2 Cd 2.73
Mo1 0.0000 0.0000 0.5296  6 Be 2.56-2.76, 2 Mo 2.73
Mo2 0.5000 0.5000 0.0296  6 Be 2.56-2.76, 2 Mo 2.73

## Properties
**DFT total energy**: -35.6 eV/cell
**N(E_F)**: 0.366 states/eV/atom
**Space-group type**: Imm2, No. 44

(2)
Density functional theory data (PBE) for crystalline Cs6Rb2BrO2 at its relaxed geometry.

abc: 10.8836 10.8836 10.8836
angles: 52.50 52.50 52.50
Last column: nearest neighbours and their distance in Å.
Positions (direct):
Cs1 0.2628 0.2628 0.7232  1 O 2.69
Cs2 0.2628 0.7232 0.2628  1 O 2.69
Cs3 0.2768 0.7372 0.7372  1 O 2.69
Cs4 0.7232 0.2628 0.2628  1 O 2.69
Cs5 0.7372 0.2768 0.7372  1 O 2.69
Cs6 0.7372 0.7372 0.2768  1 O 2.69
Rb1 0.2943 0.2943 0.2943  1 O 2.59
Rb2 0.7057 0.7057 0.7057  1 O 2.59
Br1 0.0000 0.0000 0.0000  6 Cs 3.80
O1 0.3865 0.3865 0.3865  1 Rb 2.59, 3 Cs 2.69
O2 0.6135 0.6135 0.6135  1 Rb 2.59, 3 Cs 2.69

## Properties
**DFT total energy**: -27.9 eV/cell
**N(E_F)**: 0.434 states/eV/atom
**ΔE_f (raw)**: -0.84 eV per atom
**Space-group type**: R-3m, No. 166

(3)
Density functional theory data (PBE) for crystalline TcHCNO at its relaxed geometry.

abc: 6.5956 2.5033 5.9289
angles: 90.00 111.14 90.00
Last column: nearest neighbours and their distance in Å.
Positions (direct):
Tc1 0.0000 0.0000 0.0000  2 O 1.98, 1 C 2.06, 1 N 2.15
Tc2 0.5000 0.5000 0.0000  2 O 1.98, 1 C 2.06, 1 N 2.15
H1 0.2776 0.0000 0.5085  1 N 1.09
H2 0.7776 0.5000 0.5085  1 N 1.09
C1 0.3124 0.5000 0.2135  2 N 1.46
C2 0.8124 0.0000 0.2135  2 N 1.46
N1 0.2834 0.0000 0.3266  1 H 1.09
N2 0.7834 0.5000 0.3266  1 H 1.09
O1 0.2924 0.0000 0.7740  1 H 1.54
O2 0.7924 0.5000 0.7740  1 H 1.54

## Properties
**DFT total energy**: -73.3 eV/cell
**N(E_F)**: 0.328 states/eV/atom
**Space-group type**: Cm, No. 8

Copy entry 1 word for word.
Density functional theory data (PBE) for crystalline Be2CdMo at its relaxed geometry.

abc: 2.7325 4.2853 9.0275
angles: 90.00 90.00 90.00
Last column: nearest neighbours and their distance in Å.
Positions (direct):
Be1 0.0000 0.0000 0.0000  2 Be 2.30, 4 Mo 2.56
Be2 0.0000 0.5000 0.2957  2 Be 2.30
Be3 0.5000 0.0000 0.7957  2 Be 2.30
Be4 0.5000 0.5000 0.5000  2 Be 2.30, 4 Mo 2.56
Cd1 0.0000 0.5000 0.7462  6 Be 2.58-2.61, 2 Cd 2.73
Cd2 0.5000 0.0000 0.2462  6 Be 2.58-2.61, 2 Cd 2.73
Mo1 0.0000 0.0000 0.5296  6 Be 2.56-2.76, 2 Mo 2.73
Mo2 0.5000 0.5000 0.0296  6 Be 2.56-2.76, 2 Mo 2.73

## Properties
**DFT total energy**: -35.6 eV/cell
**N(E_F)**: 0.366 states/eV/atom
**Space-group type**: Imm2, No. 44

- What is the N(E_F) in the first record?
  0.366 states/eV/atom

- Which of these has the highest N(E_F)?
  Cs6Rb2BrO2